Record 1
A relaxed structure of HIrRuRh2, computed with PBE.

Computed properties:
Its total DFT energy (no corrections) is -35.82 eV per cell. The space group is P4/mmm, No. 123. The relative energy among the computed polymorphs comes out at 0 meV per atom.

abc: 3.889 3.889 3.907
angles: 90.00 90.00 90.00
Fractional coordinates of all 5 atoms:
H 0.000 0.000 0.000
Ir 0.500 0.500 0.500
Ru 0.000 0.000 0.500
Rh 0.000 0.500 0.000
Rh 0.500 0.000 0.000



Record 2
A relaxed structure of HIr2RuRh, computed with PBE.

Computed properties:
Its total DFT energy (no corrections) is -37.07 eV per cell. The space group is P4/mmm, No. 123. The relative energy among the computed polymorphs comes out at 0 meV per atom.

abc: 3.909 3.909 3.905
angles: 90.00 90.00 90.00
Fractional coordinates of all 5 atoms:
H 0.000 0.000 0.000
Ir 0.000 0.500 0.000
Ir 0.500 0.000 0.000
Ru 0.000 0.000 0.500
Rh 0.500 0.500 0.500



Record 3
A relaxed structure of HIr2RuRh, computed with PBE.

Computed properties:
Its total DFT energy (no corrections) is -36.96 eV per cell. The space group is P4/mmm, No. 123. The relative energy among the computed polymorphs comes out at 22 meV per atom.

abc: 3.912 3.912 3.907
angles: 90.00 90.00 90.00
Fractional coordinates of all 5 atoms:
H 0.000 0.000 0.000
Ir 0.000 0.500 0.000
Ir 0.500 0.000 0.000
Ru 0.500 0.500 0.500
Rh 0.000 0.000 0.500